[1]
A relaxed structure of Ti3AlSe. Source: Alexandria via LeMat-Bulk, functional PBE-GGA.

Cell lengths 4.6458, 4.6458, 4.6458 Å; angles 90.00, 90.00, 90.00 degrees
Fractional positions:
Ti 0.0000 0.5000 0.0000
Ti 0.0000 0.0000 0.5000
Ti 0.5000 0.0000 0.0000
Se 0.0000 0.0000 0.0000
Al 0.5000 0.5000 0.5000

Results
space-group type: Pm-3m
calculated total energy: -6.16 eV/atom

***

[2]
A relaxed structure of TiAlSe4. Source: Alexandria via LeMat-Bulk, functional PBE-GGA.

Cell lengths 3.5579, 7.2515, 6.3671 Å; angles 119.11, 90.00, 104.20 degrees
Fractional positions:
Se 0.3801 0.7602 0.0343
Se 0.8756 0.7512 0.5227
Se 0.6199 0.2398 0.9657
Se 0.1244 0.2488 0.4773
Al 0.0000 0.0000 0.0000
Ti 0.5000 0.0000 0.5000

Results
space-group type: C2/m
calculated total energy: -5.07 eV/atom

***

[3]
A relaxed structure of Ti2Al2Se. Source: Alexandria via LeMat-Bulk, functional PBE-GGA.

Cell lengths 6.5458, 6.5458, 4.1345 Å; angles 90.00, 90.00, 90.00 degrees
Fractional positions:
Al 0.6426 0.8574 0.5000
Al 0.8574 0.3574 0.5000
Al 0.3574 0.1426 0.5000
Al 0.1426 0.6426 0.5000
Se 0.0000 0.0000 0.0000
Se 0.5000 0.5000 0.0000
Ti 0.3417 0.8417 0.0000
Ti 0.6583 0.1583 0.0000
Ti 0.8417 0.6583 0.0000
Ti 0.1583 0.3417 0.0000

Results
space-group type: P4/mbm
calculated total energy: -5.78 eV/atom

***

[4]
A relaxed structure of TiAl2Se4. Source: Alexandria via LeMat-Bulk, functional PBE-GGA.

Cell lengths 6.2350, 6.2350, 6.2350 Å; angles 105.38, 105.38, 118.01 degrees
Site moments in Bohr magnetons follow the coordinates.
Fractional positions:
Ti 0.5000 0.5000 0.0000  1.64
Se 0.8176 0.3410 0.1586  -0.01
Se 0.3410 0.1824 0.5233  -0.01
Se 0.6590 0.8176 0.4767  -0.01
Se 0.1824 0.6590 0.8414  -0.01
Al 0.2500 0.7500 0.5000  0.02
Al 0.7500 0.2500 0.5000  0.02

Results
space-group type: I4/m
calculated total energy: -4.89 eV/atom

***

[5]
A relaxed structure of Ti3AlSe6. Source: Alexandria via LeMat-Bulk, functional PBE-GGA.

Cell lengths 6.2853, 8.2670, 8.2670 Å; angles 101.83, 90.00, 90.00 degrees
Site moments in Bohr magnetons follow the coordinates.
Fractional positions:
Ti 0.8839 0.5899 0.4101  0.75
Ti 0.4887 0.9201 0.7314  0.95
Ti 0.9887 0.0799 0.2686  0.95
Ti 0.9887 0.7314 0.9201  0.95
Ti 0.4887 0.2686 0.0799  0.95
Ti 0.3839 0.4101 0.5899  0.75
Al 0.5153 0.7859 0.2141  0.02
Al 0.0153 0.2141 0.7859  0.02
Se 0.6863 0.6279 0.7002  -0.06
Se 0.6372 0.2238 0.7762  -0.03
Se 0.6624 0.9601 0.0399  -0.04
Se 0.1624 0.0399 0.9601  -0.04
Se 0.7183 0.8935 0.4554  -0.03
Se 0.2183 0.4554 0.8935  -0.03
Se 0.2183 0.1065 0.5446  -0.03
Se 0.1863 0.3721 0.2998  -0.06
Se 0.7183 0.5446 0.1065  -0.03
Se 0.1372 0.7762 0.2238  -0.03
Se 0.1863 0.7002 0.6279  -0.06
Se 0.6863 0.2998 0.3721  -0.06

Results
space-group type: Cmc2_1
calculated total energy: -5.74 eV/atom

***

[6]
A relaxed structure of TiAl2VSe. Source: Alexandria via LeMat-Bulk, functional PBE-GGA.

Cell lengths 4.7964, 4.4263, 4.7964 Å; angles 90.00, 90.00, 90.00 degrees
Fractional positions:
Se 0.0000 0.0000 0.0000
Ti 0.5000 0.5000 0.5000
V 0.0000 0.5000 0.0000
Al 0.5000 0.0000 0.0000
Al 0.0000 0.0000 0.5000

Results
space-group type: P4/mmm
calculated total energy: -4.84 eV/atom